(i)
Density functional theory data (PBE) for a relaxed VCr2Pd crystal.

Calculated values
**Total moment**: 0.0588 μB/atom

The structure in CIF format:
```
data_VCr2Pd
_chemical_formula_sum 'V4 Cr8 Pd4'
_symmetry_space_group_name_H-M 'I -4 2 d'
_symmetry_Int_Tables_number 122
_symmetry_space_group_name_Hall 'I -4 2bw'
_cell_length_a 3.5570
_cell_length_b 3.5570
_cell_length_c 17.9675
_cell_angle_alpha 90.00
_cell_angle_beta 90.00
_cell_angle_gamma 90.00
loop_
_atom_site_label
_atom_site_fract_x
_atom_site_fract_y
_atom_site_fract_z
V1 0.0000 0.0000 0.0000
Cr1 0.2055 0.2500 0.1250
Pd1 0.0000 0.0000 0.5000
```

(ii)
Density functional theory data (PBE) for a relaxed VCr2Pd crystal.

Calculated values
**Total moment**: 0.0002 μB/atom

The structure in CIF format:
```
data_VCr2Pd
_chemical_formula_sum 'V1 Cr2 Pd1'
_symmetry_space_group_name_H-M 'P 4/m m m'
_symmetry_Int_Tables_number 123
_symmetry_space_group_name_Hall '-P 4 2'
_cell_length_a 3.6419
_cell_length_b 3.6419
_cell_length_c 3.9479
_cell_angle_alpha 90.00
_cell_angle_beta 90.00
_cell_angle_gamma 90.00
loop_
_atom_site_label
_atom_site_fract_x
_atom_site_fract_y
_atom_site_fract_z
V1 0.0000 0.0000 0.0000
Cr1 0.0000 0.5000 0.5000
Pd1 0.5000 0.5000 0.0000
```

Which structure wins on stability? (ii) wins.

(i)
Density functional theory data (PBE) for a relaxed VCr2Pd crystal.

Calculated values
**Total moment**: 0.7794 μB/atom

The structure in CIF format:
```
data_VCr2Pd
_chemical_formula_sum 'V4 Cr8 Pd4'
_symmetry_space_group_name_H-M 'F m -3 m'
_symmetry_Int_Tables_number 225
_symmetry_space_group_name_Hall '-F 4 2 3'
_cell_length_a 6.0298
_cell_length_b 6.0298
_cell_length_c 6.0298
_cell_angle_alpha 90.00
_cell_angle_beta 90.00
_cell_angle_gamma 90.00
loop_
_atom_site_label
_atom_site_fract_x
_atom_site_fract_y
_atom_site_fract_z
V1 0.0000 0.0000 0.0000
Cr1 0.2500 0.2500 0.2500
Pd1 0.0000 0.0000 0.5000
```

(ii)
Density functional theory data (PBE) for a relaxed VCr2Pd crystal.

Calculated values
**Total moment**: 0.6771 μB/atom

The structure in CIF format:
```
data_VCr2Pd
_chemical_formula_sum 'V1 Cr2 Pd1'
_symmetry_space_group_name_H-M 'P 4/m m m'
_symmetry_Int_Tables_number 123
_symmetry_space_group_name_Hall '-P 4 2'
_cell_length_a 2.9620
_cell_length_b 2.9620
_cell_length_c 6.1193
_cell_angle_alpha 90.00
_cell_angle_beta 90.00
_cell_angle_gamma 90.00
loop_
_atom_site_label
_atom_site_fract_x
_atom_site_fract_y
_atom_site_fract_z
V1 0.0000 0.0000 0.0000
Cr1 0.5000 0.5000 0.2235
Pd1 0.0000 0.0000 0.5000
```

Which structure wins on stability? (ii) wins.

(i)
Density functional theory data (PBE) for a relaxed VCrPd6 crystal.

Calculated values
**Total moment**: 0.2451 μB/atom

The structure in CIF format:
```
data_VCrPd6
_chemical_formula_sum 'V1 Cr1 Pd6'
_symmetry_space_group_name_H-M 'P -1'
_symmetry_Int_Tables_number 2
_symmetry_space_group_name_Hall '-P 1'
_cell_length_a 4.9834
_cell_length_b 4.9949
_cell_length_c 5.0001
_cell_angle_alpha 93.13
_cell_angle_beta 93.11
_cell_angle_gamma 93.06
loop_
_atom_site_label
_atom_site_fract_x
_atom_site_fract_y
_atom_site_fract_z
V1 0.0000 0.0000 0.0000
Cr1 0.5000 0.5000 0.5000
Pd1 0.0344 0.4600 0.7502
Pd2 0.2498 0.9635 0.5423
Pd3 0.4598 0.7502 0.0356
```

(ii)
Density functional theory data (PBE) for a relaxed VCrPd6 crystal.

Calculated values
**Total moment**: 0.4616 μB/atom

The structure in CIF format:
```
data_VCrPd6
_chemical_formula_sum 'V1 Cr1 Pd6'
_symmetry_space_group_name_H-M 'P 4/m m m'
_symmetry_Int_Tables_number 123
_symmetry_space_group_name_Hall '-P 4 2'
_cell_length_a 3.9061
_cell_length_b 3.9061
_cell_length_c 7.7942
_cell_angle_alpha 90.00
_cell_angle_beta 90.00
_cell_angle_gamma 90.00
loop_
_atom_site_label
_atom_site_fract_x
_atom_site_fract_y
_atom_site_fract_z
V1 0.0000 0.0000 0.0000
Cr1 0.0000 0.0000 0.5000
Pd1 0.0000 0.5000 0.2433
Pd2 0.5000 0.5000 0.0000
Pd3 0.5000 0.5000 0.5000
```

Which structure wins on stability? (ii) wins.

(i)
Density functional theory data (PBE) for a relaxed VCrPd4 crystal.

Calculated values
**Total moment**: 0.1254 μB/atom

The structure in CIF format:
```
data_VCrPd4
_chemical_formula_sum 'V1 Cr1 Pd4'
_symmetry_space_group_name_H-M 'P 4/m m m'
_symmetry_Int_Tables_number 123
_symmetry_space_group_name_Hall '-P 4 2'
_cell_length_a 2.7328
_cell_length_b 2.7328
_cell_length_c 11.5423
_cell_angle_alpha 90.00
_cell_angle_beta 90.00
_cell_angle_gamma 90.00
loop_
_atom_site_label
_atom_site_fract_x
_atom_site_fract_y
_atom_site_fract_z
V1 0.0000 0.0000 0.0000
Cr1 0.5000 0.5000 0.5000
Pd1 0.0000 0.0000 0.3454
Pd2 0.5000 0.5000 0.1594
```

(ii)
Density functional theory data (PBE) for a relaxed VCrPd4 crystal.

Calculated values
**Total moment**: 0.2433 μB/atom

The structure in CIF format:
```
data_VCrPd4
_chemical_formula_sum 'V2 Cr2 Pd8'
_symmetry_space_group_name_H-M 'C 1 2/m 1'
_symmetry_Int_Tables_number 12
_symmetry_space_group_name_Hall '-C 2y'
_cell_length_a 5.2765
_cell_length_b 7.4125
_cell_length_c 5.3174
_cell_angle_alpha 90.00
_cell_angle_beta 118.15
_cell_angle_gamma 90.00
loop_
_atom_site_label
_atom_site_fract_x
_atom_site_fract_y
_atom_site_fract_z
V1 0.0000 0.0000 0.0000
Cr1 0.0000 0.5000 0.5000
Pd1 0.2470 0.1863 0.7511
```

Which structure wins on stability? (i) wins.

(i)
Density functional theory data (PBE) for a relaxed Cr3PdW crystal.

Calculated values
**Total moment**: 0.0003 μB/atom

The structure in CIF format:
```
data_Cr3PdW
_chemical_formula_sum 'Cr3 Pd1 W1'
_symmetry_space_group_name_H-M 'P m -3 m'
_symmetry_Int_Tables_number 221
_symmetry_space_group_name_Hall '-P 4 2 3'
_cell_length_a 4.4052
_cell_length_b 4.4052
_cell_length_c 4.4052
_cell_angle_alpha 90.00
_cell_angle_beta 90.00
_cell_angle_gamma 90.00
loop_
_atom_site_label
_atom_site_fract_x
_atom_site_fract_y
_atom_site_fract_z
Cr1 0.0000 0.0000 0.5000
Pd1 0.0000 0.0000 0.0000
W1 0.5000 0.5000 0.5000
```

(ii)
Density functional theory data (PBE) for a relaxed Cr3PdW crystal.

Calculated values
**Total moment**: 0.0003 μB/atom

The structure in CIF format:
```
data_Cr3PdW
_chemical_formula_sum 'Cr3 Pd1 W1'
_symmetry_space_group_name_H-M 'P m -3 m'
_symmetry_Int_Tables_number 221
_symmetry_space_group_name_Hall '-P 4 2 3'
_cell_length_a 4.4570
_cell_length_b 4.4570
_cell_length_c 4.4570
_cell_angle_alpha 90.00
_cell_angle_beta 90.00
_cell_angle_gamma 90.00
loop_
_atom_site_label
_atom_site_fract_x
_atom_site_fract_y
_atom_site_fract_z
Cr1 0.0000 0.0000 0.5000
Pd1 0.5000 0.5000 0.5000
W1 0.0000 0.0000 0.0000
```

Which structure wins on stability? (ii) wins.

(i)
Density functional theory data (PBE) for a relaxed CrPd2W crystal.

Calculated values
**Total moment**: 0.9113 μB/atom

The structure in CIF format:
```
data_CrPd2W
_chemical_formula_sum 'Cr4 Pd8 W4'
_symmetry_space_group_name_H-M 'F m -3 m'
_symmetry_Int_Tables_number 225
_symmetry_space_group_name_Hall '-F 4 2 3'
_cell_length_a 6.2805
_cell_length_b 6.2805
_cell_length_c 6.2805
_cell_angle_alpha 90.00
_cell_angle_beta 90.00
_cell_angle_gamma 90.00
loop_
_atom_site_label
_atom_site_fract_x
_atom_site_fract_y
_atom_site_fract_z
Cr1 0.0000 0.0000 0.0000
Pd1 0.2500 0.2500 0.2500
W1 0.0000 0.0000 0.5000
```

(ii)
Density functional theory data (PBE) for a relaxed CrPd2W crystal.

Calculated values
**Total moment**: 0.0001 μB/atom

The structure in CIF format:
```
data_CrPd2W
_chemical_formula_sum 'Cr4 Pd8 W4'
_symmetry_space_group_name_H-M 'I -4 2 d'
_symmetry_Int_Tables_number 122
_symmetry_space_group_name_Hall 'I -4 2bw'
_cell_length_a 6.9806
_cell_length_b 6.9806
_cell_length_c 5.1748
_cell_angle_alpha 90.00
_cell_angle_beta 90.00
_cell_angle_gamma 90.00
loop_
_atom_site_label
_atom_site_fract_x
_atom_site_fract_y
_atom_site_fract_z
Cr1 0.0000 0.0000 0.0000
Pd1 0.2355 0.7500 0.1250
W1 0.0000 0.0000 0.5000
```

Which structure wins on stability? (i) wins.

(i)
Density functional theory data (PBE) for a relaxed YCrPd3 crystal.

Calculated values
**Total moment**: 0.1519 μB/atom

The structure in CIF format:
```
data_YCrPd3
_chemical_formula_sum 'Y1 Cr1 Pd3'
_symmetry_space_group_name_H-M 'P m -3 m'
_symmetry_Int_Tables_number 221
_symmetry_space_group_name_Hall '-P 4 2 3'
_cell_length_a 4.9588
_cell_length_b 4.9588
_cell_length_c 4.9588
_cell_angle_alpha 90.00
_cell_angle_beta 90.00
_cell_angle_gamma 90.00
loop_
_atom_site_label
_atom_site_fract_x
_atom_site_fract_y
_atom_site_fract_z
Y1 0.0000 0.0000 0.0000
Cr1 0.5000 0.5000 0.5000
Pd1 0.0000 0.0000 0.5000
```

(ii)
Density functional theory data (PBE) for a relaxed YCrPd3 crystal.

Calculated values
**Total moment**: 0.0835 μB/atom

The structure in CIF format:
```
data_YCrPd3
_chemical_formula_sum 'Y1 Cr1 Pd3'
_symmetry_space_group_name_H-M 'P m -3 m'
_symmetry_Int_Tables_number 221
_symmetry_space_group_name_Hall '-P 4 2 3'
_cell_length_a 4.6425
_cell_length_b 4.6425
_cell_length_c 4.6425
_cell_angle_alpha 90.00
_cell_angle_beta 90.00
_cell_angle_gamma 90.00
loop_
_atom_site_label
_atom_site_fract_x
_atom_site_fract_y
_atom_site_fract_z
Y1 0.0000 0.0000 0.0000
Cr1 0.5000 0.5000 0.5000
Pd1 0.0000 0.5000 0.5000
```

Which structure wins on stability? (ii) wins.

(i)
Density functional theory data (PBE) for a relaxed Y2CrPd crystal.

Calculated values
**Total moment**: 0.9687 μB/atom

The structure in CIF format:
```
data_Y2CrPd
_chemical_formula_sum 'Y8 Cr4 Pd4'
_symmetry_space_group_name_H-M 'F m -3 m'
_symmetry_Int_Tables_number 225
_symmetry_space_group_name_Hall '-F 4 2 3'
_cell_length_a 7.1163
_cell_length_b 7.1163
_cell_length_c 7.1163
_cell_angle_alpha 90.00
_cell_angle_beta 90.00
_cell_angle_gamma 90.00
loop_
_atom_site_label
_atom_site_fract_x
_atom_site_fract_y
_atom_site_fract_z
Y1 0.2500 0.2500 0.2500
Cr1 0.0000 0.0000 0.0000
Pd1 0.0000 0.0000 0.5000
```

(ii)
Density functional theory data (PBE) for a relaxed Y2CrPd crystal.

Calculated values
**Total moment**: 0.8429 μB/atom

The structure in CIF format:
```
data_Y2CrPd
_chemical_formula_sum 'Y8 Cr4 Pd4'
_symmetry_space_group_name_H-M 'I -4 2 d'
_symmetry_Int_Tables_number 122
_symmetry_space_group_name_Hall 'I -4 2bw'
_cell_length_a 7.8308
_cell_length_b 7.8308
_cell_length_c 6.3144
_cell_angle_alpha 90.00
_cell_angle_beta 90.00
_cell_angle_gamma 90.00
loop_
_atom_site_label
_atom_site_fract_x
_atom_site_fract_y
_atom_site_fract_z
Y1 0.2227 0.7500 0.1250
Cr1 0.0000 0.0000 0.5000
Pd1 0.0000 0.0000 0.0000
```

Which structure wins on stability? (i) wins.